[1]
Density functional theory data (PBE) for Tl2MoSe after structural relaxation.

a b c (Å): 8.632 8.632 8.632
angles (deg): 23.55 23.55 23.55
Fractional coordinates of all 4 atoms:
Tl 0.501 0.501 0.501
Tl 0.999 0.999 0.999
Mo 0.250 0.250 0.250
Se 0.750 0.750 0.750

Properties
ΔE_f (raw)	2.7	eV/f.u.
spin magnetization	0.0	μB/f.u.

***

[2]
Density functional theory data (PBE) for Ac2Dy7Ho4 after structural relaxation.

a b c (Å): 6.169 6.169 13.365
angles (deg): 90.00 90.00 120.00
Fractional coordinates of all 13 atoms:
Ho 0.333 0.667 0.500
Ho 0.000 0.000 0.604
Ho 0.000 0.000 0.396
Ho 0.667 0.333 0.500
Dy 0.000 0.644 0.222
Dy 0.356 0.000 0.778
Dy 0.000 0.356 0.778
Dy 0.000 0.000 0.000
Dy 0.644 0.644 0.778
Dy 0.356 0.356 0.222
Dy 0.644 0.000 0.222
Ac 0.667 0.333 0.000
Ac 0.333 0.667 0.000

Properties
spin magnetization	0.0	μB/f.u.
E_form	0.233	eV/atom

***

[3]
Density functional theory data (PBE) for Ti2BiW after structural relaxation.

a b c (Å): 4.145 4.145 9.972
angles (deg): 78.00 78.00 90.00
Fractional coordinates of all 8 atoms:
Ti 0.615 0.125 0.250
Ti 0.875 0.865 0.750
Ti 0.375 0.385 0.750
Ti 0.135 0.625 0.250
Bi 0.750 0.250 0.500
Bi 0.000 0.000 0.000
W 0.500 0.500 0.000
W 0.250 0.750 0.500

Properties
spin magnetization	0.0	μB/f.u.
E_form	0.815	eV/atom

***

[4]
Density functional theory data (PBE) for Er4In3Co after structural relaxation.

a b c (Å): 3.460 3.460 16.029
angles (deg): 90.00 90.00 90.00
Site moments in Bohr magnetons follow the coordinates.
Fractional coordinates of all 8 atoms:
Er 0.000 0.000 0.634  -0.13
Er 0.000 0.000 0.901  -0.12
Er 0.000 0.000 0.099  -0.12
Er 0.000 0.000 0.366  -0.13
In 0.500 0.500 0.500  0.01
In 0.500 0.500 0.234  0.02
In 0.500 0.500 0.766  0.02
Co 0.500 0.500 0.000  1.06

Properties
spin magnetization	0.6	μB/f.u.
E_form	-0.392	eV/atom

***

[5]
Density functional theory data (PBE) for Ac2Cd4Ga3Hg after structural relaxation.

a b c (Å): 4.678 4.678 11.500
angles (deg): 90.00 90.00 90.00
Fractional coordinates of all 10 atoms:
Ga 0.000 0.500 0.134
Ga 0.000 0.000 0.500
Ga 0.500 0.000 0.866
Cd 0.500 0.500 0.000
Cd 0.000 0.500 0.362
Cd 0.000 0.000 0.000
Cd 0.500 0.000 0.638
Hg 0.500 0.500 0.500
Ac 0.500 0.000 0.247
Ac 0.000 0.500 0.753

Properties
spin magnetization	0.0	μB/f.u.
E_form	-0.355	eV/atom

***

[6]
Density functional theory data (PBE) for CeMoP2 after structural relaxation.

a b c (Å): 3.597 3.598 6.702
angles (deg): 105.58 105.57 89.99
Site moments in Bohr magnetons follow the coordinates.
Fractional coordinates of all 4 atoms:
Ce 0.221 0.881 0.228  0.23
P 0.850 0.509 0.485  -0.01
P 0.593 0.253 0.971  -0.01
Mo 0.471 0.631 0.728  0.00

Properties
spin magnetization	0.2	μB/f.u.
E_form	-0.621	eV/atom

***

[7]
Density functional theory data (PBE) for La2SmHo9 after structural relaxation.

a b c (Å): 3.494 11.337 11.337
angles (deg): 120.00 90.00 90.00
Fractional coordinates of all 12 atoms:
La 0.000 0.333 0.667
La 0.000 0.667 0.333
Ho 0.500 0.173 0.827
Ho 0.000 0.500 0.000
Ho 0.500 0.346 0.173
Ho 0.000 0.500 0.500
Ho 0.000 0.000 0.500
Ho 0.500 0.827 0.654
Ho 0.500 0.654 0.827
Ho 0.500 0.827 0.173
Ho 0.500 0.173 0.346
Sm 0.000 0.000 0.000

Properties
spin magnetization	0.0	μB/f.u.
E_form	0.087	eV/atom

***

[8]
Density functional theory data (PBE) for PaHgSe after structural relaxation.

a b c (Å): 4.090 7.820 14.402
angles (deg): 90.00 90.00 90.00
Site moments in Bohr magnetons follow the coordinates.
Fractional coordinates of all 18 atoms:
Hg 0.000 0.268 0.951  0.01
Hg 0.000 0.881 0.750  0.03
Hg 0.000 0.732 0.049  0.01
Hg 0.000 0.268 0.549  0.01
Hg 0.000 0.119 0.250  0.03
Hg 0.000 0.732 0.451  0.01
Pa 0.500 0.958 0.591  0.94
Pa 0.000 0.519 0.250  0.50
Pa 0.500 0.042 0.409  0.94
Pa 0.500 0.042 0.091  0.94
Pa 0.000 0.481 0.750  0.50
Pa 0.500 0.958 0.909  0.94
Se 0.500 0.408 0.380  -0.01
Se 0.500 0.592 0.620  -0.01
Se 0.500 0.408 0.120  -0.01
Se 0.500 0.592 0.880  -0.01
Se 0.500 0.210 0.750  -0.01
Se 0.500 0.790 0.250  -0.01

Properties
ΔE_f (raw)	-1.3	eV/f.u.
spin magnetization	0.9	μB/f.u.

***

[9]
Density functional theory data (PBE) for TbPm2Si after structural relaxation.

a b c (Å): 4.045 4.045 6.708
angles (deg): 90.00 90.00 90.00
Fractional coordinates of all 4 atoms:
Pm 0.000 0.000 0.783
Pm 0.000 0.000 0.217
Tb 0.500 0.500 0.500
Si 0.500 0.500 0.000

Properties
ΔE_f (raw)	-0.9	eV/f.u.
spin magnetization	0.0	μB/f.u.

***

[10]
Density functional theory data (PBE) for Cr2NCl after structural relaxation.

a b c (Å): 5.525 5.525 5.965
angles (deg): 62.41 62.41 90.00
Site moments in Bohr magnetons follow the coordinates.
Fractional coordinates of all 8 atoms:
Cr 0.875 0.770 0.750  3.63
Cr 0.230 0.625 0.250  3.57
Cr 0.375 0.480 0.750  3.59
Cr 0.520 0.125 0.250  3.58
N 0.500 0.500 0.000  -0.22
N 0.250 0.750 0.500  -0.22
Cl 0.750 0.250 0.500  0.08
Cl 0.000 0.000 0.000  0.08

Properties
ΔE_f (raw)	-0.7	eV/f.u.
spin magnetization	8.0	μB/f.u.

***

[11]
Density functional theory data (PBE) for CeZn2Au4 after structural relaxation.

a b c (Å): 5.664 5.664 5.664
angles (deg): 103.03 103.03 123.31
Site moments in Bohr magnetons follow the coordinates.
Fractional coordinates of all 7 atoms:
Ce 0.000 0.000 0.000  0.70
Zn 0.250 0.750 0.500  0.00
Zn 0.750 0.250 0.500  0.00
Au 0.301 0.301 0.602  0.00
Au 0.301 0.699 0.000  0.00
Au 0.699 0.301 0.000  0.00
Au 0.699 0.699 0.398  0.00

Properties
spin magnetization	0.8	μB/f.u.
E_form	-0.478	eV/atom

***

[12]
Density functional theory data (PBE) for NdHoCo4 after structural relaxation.

a b c (Å): 5.118 5.118 5.118
angles (deg): 60.00 60.00 60.00
Site moments in Bohr magnetons follow the coordinates.
Fractional coordinates of all 6 atoms:
Co 0.626 0.626 0.123  1.16
Co 0.123 0.626 0.626  1.16
Co 0.626 0.626 0.626  1.16
Co 0.626 0.123 0.626  1.16
Ho 0.000 0.000 0.000  -0.36
Nd 0.250 0.250 0.250  -0.21

Properties
spin magnetization	3.8	μB/f.u.
E_form	-0.120	eV/atom

***

[13]
Density functional theory data (PBE) for CaTa2Rh2 after structural relaxation.

a b c (Å): 8.043 8.043 2.843
angles (deg): 90.00 90.00 90.00
Fractional coordinates of all 10 atoms:
Ta 0.872 0.628 0.000
Ta 0.372 0.872 0.000
Ta 0.128 0.372 0.000
Ta 0.628 0.128 0.000
Rh 0.166 0.666 0.500
Rh 0.834 0.334 0.500
Rh 0.334 0.166 0.500
Rh 0.666 0.834 0.500
Ca 0.500 0.500 0.000
Ca 0.000 0.000 0.000

Properties
spin magnetization	0.0	μB/f.u.
E_form	-0.239	eV/atom

***

[14]
Density functional theory data (PBE) for ZnNiGeIr after structural relaxation.

a b c (Å): 4.242 4.242 4.242
angles (deg): 60.00 60.00 60.00
Fractional coordinates of all 4 atoms:
Zn 0.750 0.750 0.750
Ir 0.500 0.500 0.500
Ge 0.250 0.250 0.250
Ni 0.000 0.000 0.000

Properties
spin magnetization	0.0	μB/f.u.
E_form	-0.182	eV/atom

***

[15]
Density functional theory data (PBE) for Fe2Re after structural relaxation.

a b c (Å): 3.836 3.836 2.968
angles (deg): 90.00 90.00 90.00
Site moments in Bohr magnetons follow the coordinates.
Fractional coordinates of all 3 atoms:
Fe 0.500 0.000 0.500  0.67
Fe 0.000 0.500 0.500  0.67
Re 0.000 0.000 0.000  -0.29

Properties
spin magnetization	1.0	μB/f.u.
E_form	0.922	eV/atom

***

[16]
Density functional theory data (PBE) for Co2PtAuN after structural relaxation.

a b c (Å): 3.876 3.876 4.222
angles (deg): 90.00 90.00 90.00
Site moments in Bohr magnetons follow the coordinates.
Fractional coordinates of all 5 atoms:
Co 0.500 0.000 0.000  1.54
Co 0.000 0.500 0.000  1.54
N 0.000 0.000 0.000  0.07
Au 0.500 0.500 0.500  0.02
Pt 0.000 0.000 0.500  0.17

Properties
ΔE_f (raw)	1.1	eV/f.u.
spin magnetization	3.3	μB/f.u.

***

[17]
Density functional theory data (PBE) for Ho2PuZrN4 after structural relaxation.

a b c (Å): 3.404 5.890 5.881
angles (deg): 109.39 90.00 90.00
Site moments in Bohr magnetons follow the coordinates.
Fractional coordinates of all 8 atoms:
Ho 0.000 0.500 0.500  0.09
Ho 0.500 0.000 0.500  0.08
Zr 0.000 0.000 0.000  0.10
N 0.000 0.754 0.240  -0.10
N 0.500 0.760 0.762  -0.04
N 0.500 0.240 0.238  -0.04
N 0.000 0.246 0.760  -0.10
Pu 0.500 0.500 0.000  4.57

Properties
ΔE_f (raw)	-13.0	eV/f.u.
spin magnetization	4.7	μB/f.u.

***

[18]
Density functional theory data (PBE) for La2AsO after structural relaxation.

a b c (Å): 4.035 4.035 6.908
angles (deg): 73.02 73.02 60.00
Fractional coordinates of all 4 atoms:
As 0.500 0.500 0.500
La 0.261 0.261 0.216
La 0.739 0.739 0.784
O 0.000 0.000 0.000

Properties
ΔE_f (raw)	-8.4	eV/f.u.
spin magnetization	0.0	μB/f.u.

***

[19]
Density functional theory data (PBE) for Na4Pb5 after structural relaxation.

a b c (Å): 5.005 5.928 10.509
angles (deg): 70.11 76.22 65.03
Fractional coordinates of all 9 atoms:
Pb 0.333 0.781 0.553
Pb 0.667 0.219 0.447
Pb 0.331 0.450 0.889
Pb 0.000 0.000 0.000
Pb 0.669 0.550 0.111
Na 0.002 0.331 0.666
Na 0.336 0.109 0.220
Na 0.998 0.669 0.334
Na 0.664 0.891 0.780

Properties
spin magnetization	0.0	μB/f.u.
E_form	-0.139	eV/atom